A plane-wave DFT calculation with GGA-PBE was carried out for an optimized crystal structure of AgOs3Se5.

calculated total energy = -5.65 eV/atom

Lattice parameters (Å, degrees): 5.7288 5.7288 7.0268 90.00 90.00 120.00
Fractional coordinates of all 9 atoms:
Ag (0.0000, 0.0000, 0.0000)
Os (0.5000, 0.0000, 0.5000)
Os (0.0000, 0.5000, 0.5000)
Os (0.5000, 0.5000, 0.5000)
Se (0.6667, 0.3333, 0.2379)
Se (0.3333, 0.6667, 0.2379)
Se (0.0000, 0.0000, 0.5000)
Se (0.6667, 0.3333, 0.7621)
Se (0.3333, 0.6667, 0.7621)